## PmPr6Y2Er (PBE)

Data for PmPr6Y2Er after structural relaxation.

The total energy comes out at -4.98 eV per atom. The density is 6.33 g/cm3. The total magnetization is 0.00 Bohr magnetons per cell. The value obtained for the density of states at the Fermi level is 1.494 states/eV/atom.

The structure belongs to space group C2/c (No. 15); the cell edges are 9.5033, 15.3713 and 9.6478 Å and the angles 90.00°, 96.20° and 90.00°. The distinct sites, in fractional coordinates, are Pm at (0.0000, 0.0331, 0.2500), Pr at (0.0616, 0.1748, 0.9422), Pr at (0.0927, 0.3871, 0.1154), Pr at (0.2182, 0.2215, 0.3123), Y at (0.2494, 0.4535, 0.4492) and Er at (0.0000, 0.4121, 0.7500).


## PmPr2Y2Er (PBE)

Data for PmPr2Y2Er after structural relaxation.

The total energy comes out at -5.05 eV per atom. The density is 6.25 g/cm3. The total magnetization is 0.00 Bohr magnetons per cell. The value obtained for the density of states at the Fermi level is 1.499 states/eV/atom.

The structure belongs to space group Pnnm (No. 58); the cell edges are 6.7488, 17.8045 and 3.4149 Å and the angles 90.00°, 90.00° and 90.00°. The distinct sites, in fractional coordinates, are Pm at (0.0000, 0.0000, 0.0000), Pr at (0.2404, 0.1511, 0.5000), Y at (0.2442, 0.3235, 0.0000) and Er at (0.0000, 0.5000, 0.0000).


## PmPrYEr (PBE)

Data for PmPrYEr after structural relaxation.

The total energy comes out at -5.04 eV per atom. The density is 6.69 g/cm3. The total magnetization is 0.00 Bohr magnetons per cell. The value obtained for the density of states at the Fermi level is 1.840 states/eV/atom. The energy above the most stable polymorph in this dataset is 83.4 meV per atom.

The structure belongs to space group F-43m (No. 216); the cell edges are 8.1325, 8.1325 and 8.1325 Å and the angles 90.00°, 90.00° and 90.00°. The distinct sites, in fractional coordinates, are Pm at (0.0000, 0.0000, 0.0000), Pr at (0.0000, 0.0000, 0.5000), Y at (0.2500, 0.2500, 0.2500) and Er at (0.2500, 0.2500, 0.7500).


## Pm2Pr5YEr (PBE)

Data for Pm2Pr5YEr after structural relaxation.

The total energy comes out at -4.66 eV per atom. The density is 6.52 g/cm3. The total magnetization is 0.00 Bohr magnetons per cell. The value obtained for the density of states at the Fermi level is 1.582 states/eV/atom.

The structure belongs to space group I4/mcm (No. 140); the cell edges are 8.6626, 8.6626 and 16.9739 Å and the angles 90.00°, 90.00° and 90.00°. The distinct sites, in fractional coordinates, are Pm at (0.1219, 0.3781, 0.0000), Pr at (0.0000, 0.0000, 0.0000), Pr at (0.2175, 0.2825, 0.3572), Y at (0.0000, 0.0000, 0.2500) and Er at (0.0000, 0.5000, 0.2500).


## Pm2Pr6Y3Er (PBE)

Data for Pm2Pr6Y3Er after structural relaxation.

The total energy comes out at -5.17 eV per atom. The density is 6.33 g/cm3. The total magnetization is 0.00 Bohr magnetons per cell. The value obtained for the density of states at the Fermi level is 1.225 states/eV/atom.

The structure belongs to space group C2/m (No. 12); the cell edges are 6.3431, 10.9893 and 11.9958 Å and the angles 90.00°, 100.13° and 90.00°. The distinct sites, in fractional coordinates, are Pm at (0.0000, 0.1668, 0.0000), Pr at (0.2485, 0.5000, 0.7489), Pr at (0.2500, 0.1662, 0.7493), Y at (0.0000, 0.0000, 0.5000), Y at (0.0000, 0.3335, 0.5000) and Er at (0.0000, 0.5000, 0.0000).


## Pm2PrY2Er (PBE)

Data for Pm2PrY2Er after structural relaxation.

The total energy comes out at -5.19 eV per atom. The density is 6.35 g/cm3. The total magnetization is 0.00 Bohr magnetons per cell. The value obtained for the density of states at the Fermi level is 1.537 states/eV/atom.

The structure belongs to space group Pnnm (No. 58); the cell edges are 6.1420, 18.4429 and 3.5830 Å and the angles 90.00°, 90.00° and 90.00°. The distinct sites, in fractional coordinates, are Pm at (0.1625, 0.1548, 0.0000), Pr at (0.0000, 0.5000, 0.5000), Y at (0.1615, 0.3410, 0.0000) and Er at (0.0000, 0.0000, 0.5000).


## Pm6Pr2Y3Er (PBE)

Data for Pm6Pr2Y3Er after structural relaxation.

The total energy comes out at -5.15 eV per atom. The density is 6.49 g/cm3. The total magnetization is 0.00 Bohr magnetons per cell. The value obtained for the density of states at the Fermi level is 1.334 states/eV/atom.

The structure belongs to space group C2/m (No. 12); the cell edges are 6.2942, 10.9009 and 12.0073 Å and the angles 90.00°, 100.05° and 90.00°. The distinct sites, in fractional coordinates, are Pm at (0.2479, 0.0000, 0.2475), Pm at (0.2499, 0.1659, 0.7522), Pr at (0.0000, 0.3333, 0.5000), Y at (0.0000, 0.1663, 0.0000), Y at (0.0000, 0.5000, 0.0000) and Er at (0.0000, 0.0000, 0.5000).


## PmPrYEr (PBE)

Data for PmPrYEr after structural relaxation.

The total energy comes out at -5.12 eV per atom. The density is 6.75 g/cm3. The total magnetization is 0.00 Bohr magnetons per cell. The value obtained for the density of states at the Fermi level is 1.447 states/eV/atom. The energy above the most stable polymorph in this dataset is 0.0 meV per atom.

The structure belongs to space group I-4m2 (No. 119); the cell edges are 5.1201, 5.1201 and 10.1713 Å and the angles 90.00°, 90.00° and 90.00°. The distinct sites, in fractional coordinates, are Pm at (0.0000, 0.0000, 0.0000), Pr at (0.0000, 0.5000, 0.2500), Y at (0.0000, 0.0000, 0.5000) and Er at (0.0000, 0.5000, 0.7500).


## Pm2Pr6YEr (PBE)

Data for Pm2Pr6YEr after structural relaxation.

The total energy comes out at -4.81 eV per atom. The density is 6.55 g/cm3. The total magnetization is 0.00 Bohr magnetons per cell. The value obtained for the density of states at the Fermi level is 1.447 states/eV/atom.

The structure belongs to space group C2/c (No. 15); the cell edges are 9.3044, 15.5800 and 9.8243 Å and the angles 90.00°, 97.91° and 90.00°. The distinct sites, in fractional coordinates, are Pm at (0.2485, 0.0508, 0.0437), Pr at (0.0597, 0.1812, 0.4469), Pr at (0.1033, 0.3943, 0.6175), Pr at (0.2099, 0.2214, 0.8094), Y at (0.0000, 0.0232, 0.7500) and Er at (0.0000, 0.4106, 0.2500).


## Pm6PrY2Er (PBE)

Data for Pm6PrY2Er after structural relaxation.

The total energy comes out at -4.96 eV per atom. The density is 6.59 g/cm3. The total magnetization is 0.00 Bohr magnetons per cell. The value obtained for the density of states at the Fermi level is 1.518 states/eV/atom.

The structure belongs to space group C2/c (No. 15); the cell edges are 9.3169, 15.2987 and 9.6681 Å and the angles 90.00°, 97.23° and 90.00°. The distinct sites, in fractional coordinates, are Pm at (0.0635, 0.1760, 0.4436), Pm at (0.0967, 0.3905, 0.6189), Pm at (0.2076, 0.2255, 0.8157), Pr at (0.0000, 0.4065, 0.2500), Y at (0.2442, 0.0480, 0.0468) and Er at (0.0000, 0.0313, 0.7500).


## PmPrY5Er2 (PBE)

Data for PmPrY5Er2 after structural relaxation.

The total energy comes out at -5.51 eV per atom. The density is 5.89 g/cm3. The total magnetization is 0.00 Bohr magnetons per cell. The value obtained for the density of states at the Fermi level is 1.685 states/eV/atom.

The structure belongs to space group Cmc2_1 (No. 36); the cell edges are 5.6564, 20.0751 and 10.5851 Å and the angles 90.00°, 90.00° and 90.00°. The distinct sites, in fractional coordinates, are Pm at (0.0000, 0.0839, 0.0000), Pr at (0.0000, 0.3013, 0.5670), Y at (0.0000, 0.0226, 0.2887), Y at (0.0000, 0.1105, 0.5778), Y at (0.0000, 0.2007, 0.2596), Y at (0.0000, 0.2203, 0.8677), Y at (0.0000, 0.4835, 0.5775), Er at (0.0000, 0.3871, 0.8734) and Er at (0.0000, 0.3896, 0.2881).


## Pm2Pr2YEr (PBE)

Data for Pm2Pr2YEr after structural relaxation.

The total energy comes out at -4.96 eV per atom. The density is 6.77 g/cm3. The total magnetization is 0.00 Bohr magnetons per cell. The value obtained for the density of states at the Fermi level is 1.497 states/eV/atom.

The structure belongs to space group Pmma (No. 51); the cell edges are 7.1277, 5.7291 and 9.9473 Å and the angles 90.00°, 90.00° and 90.00°. The distinct sites, in fractional coordinates, are Pm at (0.2500, 0.0000, 0.1638), Pm at (0.2500, 0.5000, 0.6686), Pr at (0.0000, 0.5000, 0.0000), Pr at (0.2500, 0.0000, 0.8244), Y at (0.0000, 0.0000, 0.5000) and Er at (0.2500, 0.5000, 0.3409).


## PmPr6YEr2 (PBE)

Data for PmPr6YEr2 after structural relaxation.

The total energy comes out at -4.79 eV per atom. The density is 6.74 g/cm3. The total magnetization is 0.00 Bohr magnetons per cell. The value obtained for the density of states at the Fermi level is 1.471 states/eV/atom.

The structure belongs to space group C2/c (No. 15); the cell edges are 9.3519, 15.3922 and 9.7699 Å and the angles 90.00°, 97.68° and 90.00°. The distinct sites, in fractional coordinates, are Pm at (0.0000, 0.0286, 0.2500), Pr at (0.0639, 0.1764, 0.9455), Pr at (0.0965, 0.3917, 0.1188), Pr at (0.2144, 0.2237, 0.3149), Y at (0.0000, 0.4100, 0.7500) and Er at (0.2487, 0.0479, 0.5471).


## Pm6PrY2Er3 (PBE)

Data for Pm6PrY2Er3 after structural relaxation.

The total energy comes out at -4.98 eV per atom. The density is 7.07 g/cm3. The total magnetization is 0.00 Bohr magnetons per cell. The value obtained for the density of states at the Fermi level is 1.213 states/eV/atom.

The structure belongs to space group C2/m (No. 12); the cell edges are 6.2592, 10.8384 and 11.8942 Å and the angles 90.00°, 100.07° and 90.00°. The distinct sites, in fractional coordinates, are Pm at (0.2484, 0.1667, 0.2464), Pm at (0.2486, 0.5000, 0.2466), Pr at (0.0000, 0.5000, 0.5000), Y at (0.0000, 0.1666, 0.5000), Er at (0.0000, 0.0000, 0.0000) and Er at (0.0000, 0.3330, 0.0000).


## PmPrYEr3 (PBE)

Data for PmPrYEr3 after structural relaxation.

The total energy comes out at -4.92 eV per atom. The density is 7.48 g/cm3. The total magnetization is 0.00 Bohr magnetons per cell. The value obtained for the density of states at the Fermi level is 1.466 states/eV/atom.

The structure belongs to space group Cmcm (No. 63); the cell edges are 5.0630, 15.1750 and 10.1313 Å and the angles 90.00°, 90.00° and 90.00°. The distinct sites, in fractional coordinates, are Pm at (0.0000, 0.0009, 0.2500), Pr at (0.0000, 0.5000, 0.0000), Y at (0.0000, 0.3314, 0.2500), Er at (0.0000, 0.1686, 0.0001) and Er at (0.0000, 0.3321, 0.7500).


## Pm2PrY6Er3 (PBE)

Data for Pm2PrY6Er3 after structural relaxation.

The total energy comes out at -5.54 eV per atom. The density is 6.26 g/cm3. The total magnetization is 0.00 Bohr magnetons per cell. The value obtained for the density of states at the Fermi level is 1.453 states/eV/atom.

The structure belongs to space group C2/m (No. 12); the cell edges are 6.2090, 10.7459 and 11.8431 Å and the angles 90.00°, 100.03° and 90.00°. The distinct sites, in fractional coordinates, are Pm at (0.0000, 0.1666, 0.0000), Pr at (0.0000, 0.5000, 0.0000), Y at (0.2481, 0.1669, 0.7460), Y at (0.2487, 0.5000, 0.7460), Er at (0.0000, 0.0000, 0.5000) and Er at (0.0000, 0.3331, 0.5000).


## PmPr2YEr5 (PBE)

Data for PmPr2YEr5 after structural relaxation.

The total energy comes out at -4.58 eV per atom. The density is 7.63 g/cm3. The total magnetization is 0.00 Bohr magnetons per cell. The value obtained for the density of states at the Fermi level is 1.185 states/eV/atom.

The structure belongs to space group I4/mcm (No. 140); the cell edges are 8.6958, 8.6958 and 15.5729 Å and the angles 90.00°, 90.00° and 90.00°. The distinct sites, in fractional coordinates, are Pm at (0.0000, 0.0000, 0.2500), Pr at (0.1176, 0.3824, 0.0000), Y at (0.0000, 0.5000, 0.2500), Er at (0.0000, 0.0000, 0.0000) and Er at (0.2123, 0.2877, 0.3607).


## Pm2Pr2Y4Er (PBE)

Data for Pm2Pr2Y4Er after structural relaxation.

The total energy comes out at -5.50 eV per atom. The density is 6.03 g/cm3. The total magnetization is 0.00 Bohr magnetons per cell. The value obtained for the density of states at the Fermi level is 1.447 states/eV/atom.

The structure belongs to space group C2/m (No. 12); the cell edges are 18.9200, 3.6465 and 9.6983 Å and the angles 90.00°, 115.71° and 90.00°. The distinct sites, in fractional coordinates, are Pm at (0.1475, 0.0000, 0.1634), Pr at (0.1646, 0.5000, 0.4996), Y at (0.0193, 0.5000, 0.8322), Y at (0.1848, 0.0000, 0.8350) and Er at (0.0000, 0.0000, 0.5000).


## Pm5ErPt6 (PBE)

Data for Pm5ErPt6 after structural relaxation.

The total energy comes out at -6.49 eV per atom. The density is 12.59 g/cm3. The total magnetization is 0.00 Bohr magnetons per cell. The value obtained for the density of states at the Fermi level is 0.647 states/eV/atom.

The structure belongs to space group C2/m (No. 12); the cell edges are 16.0559, 7.0548 and 5.0512 Å and the angles 90.00°, 108.02° and 90.00°. The distinct sites, in fractional coordinates, are Pm at (0.0000, 0.0000, 0.0000), Pm at (0.1664, 0.0000, 0.6671), Pm at (0.1668, 0.5000, 0.6664), Er at (0.0000, 0.5000, 0.0000), Pt at (0.0000, 0.2601, 0.5000) and Pt at (0.1594, 0.2562, 0.1596).